[1]
Entry from Alexandria via LeMat-Bulk: a relaxed structure of Sr2GeO4 (PBE).

Properties
- Uncorrected formation energy: -2.52 eV/atom
- Symmetry: P2_1/c, No. 14

Lattice parameters (Å, degrees): 7.298 5.922 11.236 62.97 90.00 90.00
Sites, in units of the cell vectors:
O  0.750  0.674  0.805
O  0.017  0.273  0.442
O  0.831  0.143  0.863
O  0.669  0.143  0.363
O  0.983  0.727  0.558
O  0.517  0.727  0.058
O  0.331  0.857  0.637
O  0.169  0.729  0.926
O  0.331  0.729  0.426
O  0.831  0.271  0.074
O  0.750  0.674  0.305
O  0.669  0.271  0.574
O  0.250  0.326  0.195
O  0.483  0.273  0.942
O  0.169  0.857  0.137
O  0.250  0.326  0.695
Sr  0.344  0.298  0.430
Sr  0.656  0.702  0.570
Sr  0.496  0.980  0.799
Sr  0.004  0.980  0.299
Sr  0.156  0.298  0.930
Sr  0.844  0.702  0.070
Sr  0.996  0.020  0.701
Sr  0.504  0.020  0.201
Ge  0.217  0.652  0.582
Ge  0.283  0.652  0.082
Ge  0.783  0.348  0.418
Ge  0.717  0.348  0.918


[2]
Entry from Alexandria via LeMat-Bulk: a relaxed structure of As2OsPd2 (PBE).

Properties
- Energy above the most stable polymorph in this dataset: 0 meV/atom
- ΔH_f (0 K): 48 meV/atom
- Symmetry: P4/mbm, No. 127

Lattice parameters (Å, degrees): 6.267 6.267 4.363 90.00 90.00 90.00
Sites, in units of the cell vectors:
As  0.363  0.863  0.000
As  0.637  0.137  0.000
As  0.863  0.637  0.000
As  0.137  0.363  0.000
Os  0.500  0.500  0.000
Os  0.000  0.000  0.000
Pd  0.264  0.236  0.500
Pd  0.764  0.264  0.500
Pd  0.236  0.736  0.500
Pd  0.736  0.764  0.500